A relaxed MoWAu crystal. Source: the Alexandria database, functional PBE-GGA.

Computed properties:
formation energy = 368 meV per atom
Fermi-level density of states = 0.693 states/eV per atom
space-group type = P3m1 (156)
E_tot = -8.653 eV per atom

a = 4.6282 Å, b = 4.6282 Å, c = 2.6800 Å
α = 90.00°, β = 90.00°, γ = 120.00°
Closest atoms and distances in Å follow each position.
Element x y z (fractional)
1 Mo 0.0000 0.0000 0.0000  2 Mo 2.68, 3 W 2.78, 3 Au 2.89
2 W 0.6667 0.3333 0.2816  2 W 2.68, 3 Mo 2.78, 3 Au 2.80
3 Au 0.3333 0.6667 0.5894  2 Au 2.68, 3 W 2.80, 3 Mo 2.89